Below is a relaxed NaEuHfWO6 crystal, with properties calculated at the PBE with a Hubbard U level.

Cell: 5.7347 5.7347 5.7347 Å, 60.00 60.00 60.00°
Sites, in units of the cell vectors:
Na1 0.0000 0.0000 0.0000
Eu1 0.5000 0.5000 0.5000
Hf1 0.7500 0.7500 0.7500
W1 0.2500 0.2500 0.2500
O1 0.0044 0.0044 0.4956
O2 0.0044 0.4956 0.0044
O3 0.0044 0.4956 0.4956
O4 0.4956 0.0044 0.0044
O5 0.4956 0.0044 0.4956
O6 0.4956 0.4956 0.0044

Computed properties:
SG   F-43m, No. 216
Final energy   -8.48 eV per atom